Record 1
6
Lattice="4.277 0.000 0.000 0.000 4.277 0.000 0.000 0.000 8.058" Properties=species:S:1:pos:R:3 comment="TmHfSb | Alexandria via LeMat-Bulk | PBE | relaxed" space_group="P4/nmm, No. 129" e_form_raw_ev_per_fu=-2.07 m_tot_mub_per_fu=0.0 rho_g_cm3=10.572 dft_energy_ev_per_atom=-6.871 pbc="T T T"
Tm 1.069 1.069 1.232
Tm 3.208 3.208 6.826
Hf 1.069 3.208 4.029
Hf 3.208 1.069 4.029
Sb 1.069 1.069 6.192
Sb 3.208 3.208 1.866


Record 2
20
Lattice="12.011 0.000 0.000 0.000 4.051 0.000 -5.708 0.000 11.235" Properties=species:S:1:pos:R:3 comment="TmHf3Sb6 | Alexandria via LeMat-Bulk | PBE | relaxed" space_group="P2_1/m, No. 11" e_form_raw_ev_per_fu=-3.75 m_tot_mub_per_fu=0.0 rho_g_cm3=8.718 dft_energy_ev_per_atom=-6.282 pbc="T T T"
Tm -0.202 1.013 2.272
Tm 6.505 3.038 8.963
Hf -1.373 1.013 6.174
Hf -1.909 3.038 11.162
Hf 3.660 1.013 3.874
Hf 2.643 3.038 7.361
Hf 8.212 1.013 0.073
Hf 7.676 3.038 5.060
Sb -1.572 3.038 4.156
Sb -4.008 1.013 10.824
Sb -1.556 3.038 8.320
Sb 2.104 3.038 2.468
Sb 1.387 1.013 5.672
Sb 1.010 3.038 9.808
Sb 5.293 1.013 1.427
Sb 4.916 3.038 5.563
Sb 4.199 1.013 8.766
Sb 7.859 1.013 2.914
Sb 10.311 3.038 0.411
Sb 7.875 1.013 7.078